Record 1
Ga3IrBr: relaxed, GGA-PBEsol.

Fermi-level density of states (states/eV per cell): 2.32
Magnetization (μB/f.u.): 0.0

abc: 4.8074 4.8074 4.8074
angles: 90.00 90.00 90.00
Closest atoms and distances in Å follow each position.
Fractional coordinates of all 5 atoms:
Ga  0.0000  0.0000  0.5000  2 Ir 2.40
Ga  0.0000  0.5000  0.0000  2 Ir 2.40
Ga  0.5000  0.0000  0.0000  2 Ir 2.40
Ir  0.0000  0.0000  0.0000  6 Ga 2.40
Br  0.5000  0.5000  0.5000  12 Ga 3.40

Record 2
GaIrBr3: relaxed, GGA-PBEsol.

Fermi-level density of states (states/eV per cell): 5.15
Magnetization (μB/f.u.): 0.0

abc: 5.0285 5.0285 5.0285
angles: 90.00 90.00 90.00
Closest atoms and distances in Å follow each position.
Fractional coordinates of all 5 atoms:
Ga  0.0000  0.0000  0.0000  12 Br 3.56
Ir  0.5000  0.5000  0.5000  6 Br 2.51
Br  0.0000  0.5000  0.5000  2 Ir 2.51
Br  0.5000  0.0000  0.5000  2 Ir 2.51
Br  0.5000  0.5000  0.0000  2 Ir 2.51

It is found that the raw formation energy values, taken in the order of the records, are -407, 89 meV per atom.